# HfTaCo10 GGA-PBE optimized geometry
data_HfTaCo10
_chemical_formula_sum 'Hf1 Ta1 Co10'
_cell_length_a 3.975
_cell_length_b 4.681
_cell_length_c 8.105
_cell_angle_alpha 90.00
_cell_angle_beta 90.00
_cell_angle_gamma 90.00
_space_group_name_H-M_alt 'P m m m'
_space_group_IT_number 47
loop_
_space_group_symop_operation_xyz
'x,y,z'
'-x,-y,-z'
'-x,-y,z'
'x,y,-z'
'x,-y,-z'
'-x,y,z'
'-x,y,-z'
'x,-y,z'
loop_
_atom_site_label
_atom_site_fract_x
_atom_site_fract_y
_atom_site_fract_z
Hf1 0.000 0.000 0.000
Ta1 0.000 0.500 0.500
Co1 0.000 0.000 0.338
Co2 0.000 0.500 0.171
Co3 0.500 0.000 0.500
Co4 0.500 0.252 0.254
Co5 0.500 0.500 0.000
# Energy of formation from the pure elements, eV per atom: -0.03
# Mass density, g/cm³: 10.45
# Volume, Å³/cell: 151



# HfTaCoTc GGA-PBE optimized geometry
data_HfTaCoTc
_chemical_formula_sum 'Hf4 Ta4 Co4 Tc4'
_cell_length_a 6.346
_cell_length_b 6.346
_cell_length_c 6.346
_cell_angle_alpha 90.00
_cell_angle_beta 90.00
_cell_angle_gamma 90.00
_space_group_name_H-M_alt 'F -4 3 m'
_space_group_IT_number 216
_space_group_name_Hall 'F -4 2 3'
loop_
_atom_site_label
_atom_site_fract_x
_atom_site_fract_y
_atom_site_fract_z
Hf1 0.000 0.000 0.000
Ta1 0.000 0.000 0.500
Co1 0.250 0.250 0.750
Tc1 0.250 0.250 0.250
# Energy of formation from the pure elements, eV per atom: -0.37
# Mass density, g/cm³: 13.42
# Volume, Å³/cell: 256



# TbHfCo4 GGA-PBE optimized geometry
data_TbHfCo4
_chemical_formula_sum 'Tb4 Hf4 Co16'
_cell_length_a 7.021
_cell_length_b 7.021
_cell_length_c 7.021
_cell_angle_alpha 90.00
_cell_angle_beta 90.00
_cell_angle_gamma 90.00
_space_group_name_H-M_alt 'F -4 3 m'
_space_group_IT_number 216
_space_group_name_Hall 'F -4 2 3'
loop_
_atom_site_label
_atom_site_fract_x
_atom_site_fract_y
_atom_site_fract_z
Tb1 0.000 0.000 0.000
Hf1 0.250 0.250 0.250
Co1 0.124 0.124 0.624
# Energy of formation from the pure elements, eV per atom: -0.23
# Mass density, g/cm³: 11.00
# Volume, Å³/cell: 346



# TbHf2Co GGA-PBE optimized geometry
data_TbHf2Co
_chemical_formula_sum 'Tb3 Hf6 Co3'
_cell_length_a 3.3767
_cell_length_b 3.3767
_cell_length_c 26.9078
_cell_angle_alpha 90.00
_cell_angle_beta 90.00
_cell_angle_gamma 120.00
_space_group_name_H-M_alt 'R -3 m'
_space_group_IT_number 166
_space_group_name_Hall '-R 3 2"'
loop_
_atom_site_label
_atom_site_fract_x
_atom_site_fract_y
_atom_site_fract_z
Tb1 0.0000 0.0000 0.0000
Hf1 0.0000 0.0000 0.2268
Co1 0.0000 0.0000 0.5000
# Energy of formation from the pure elements, eV per atom: 0.07
# E above lowest polymorph, meV per atom: 107
# Mass density, g/cm³: 10.78
# Volume, Å³/cell: 266



# TbHf4Co5 GGA-PBE optimized geometry
data_TbHf4Co5
_chemical_formula_sum 'Tb1 Hf4 Co5'
_cell_length_a 3.170
_cell_length_b 3.170
_cell_length_c 16.175
_cell_angle_alpha 90.00
_cell_angle_beta 90.00
_cell_angle_gamma 90.00
_space_group_name_H-M_alt 'P 4/m m m'
_space_group_IT_number 123
_space_group_name_Hall '-P 4 2'
loop_
_atom_site_label
_atom_site_fract_x
_atom_site_fract_y
_atom_site_fract_z
Tb1 0.000 0.000 0.000
Hf1 0.000 0.000 0.208
Hf2 0.000 0.000 0.403
Co1 0.500 0.500 0.124
Co2 0.500 0.500 0.311
Co3 0.500 0.500 0.500
# Energy of formation from the pure elements, eV per atom: -0.35
# Mass density, g/cm³: 11.93
# Volume, Å³/cell: 163



# TbHf2Co9 GGA-PBE optimized geometry
data_TbHf2Co9
_chemical_formula_sum 'Tb3 Hf6 Co27'
_cell_length_a 4.8803
_cell_length_b 4.8803
_cell_length_c 23.7175
_cell_angle_alpha 90.00
_cell_angle_beta 90.00
_cell_angle_gamma 120.00
_space_group_name_H-M_alt 'R -3 m'
_space_group_IT_number 166
_space_group_name_Hall '-R 3 2"'
loop_
_atom_site_label
_atom_site_fract_x
_atom_site_fract_y
_atom_site_fract_z
Tb1 0.0000 0.0000 0.0000
Hf1 0.0000 0.0000 0.1401
Co1 0.0000 0.0000 0.3358
Co2 0.0000 0.0000 0.5000
Co3 0.0068 0.5034 0.9151
# Energy of formation from the pure elements, eV per atom: -0.27
# Mass density, g/cm³: 10.65
# Volume, Å³/cell: 489



# TbHfCo2 GGA-PBE optimized geometry
data_TbHfCo2
_chemical_formula_sum 'Tb4 Hf4 Co8'
_cell_length_a 6.512
_cell_length_b 6.512
_cell_length_c 6.512
_cell_angle_alpha 90.00
_cell_angle_beta 90.00
_cell_angle_gamma 90.00
_space_group_name_H-M_alt 'F m -3 m'
_space_group_IT_number 225
_space_group_name_Hall '-F 4 2 3'
loop_
_atom_site_label
_atom_site_fract_x
_atom_site_fract_y
_atom_site_fract_z
Tb1 0.000 0.000 0.000
Hf1 0.000 0.000 0.500
Co1 0.250 0.250 0.250
# Energy of formation from the pure elements, eV per atom: -0.20
# E above lowest polymorph, meV per atom: 77
# Mass density, g/cm³: 10.95
# Volume, Å³/cell: 276



# Tb2HfCo9 GGA-PBE optimized geometry
data_Tb2HfCo9
_chemical_formula_sum 'Tb6 Hf3 Co27'
_cell_length_a 4.8677
_cell_length_b 4.8677
_cell_length_c 24.6423
_cell_angle_alpha 90.00
_cell_angle_beta 90.00
_cell_angle_gamma 120.00
_space_group_name_H-M_alt 'R -3 m'
_space_group_IT_number 166
_space_group_name_Hall '-R 3 2"'
loop_
_atom_site_label
_atom_site_fract_x
_atom_site_fract_y
_atom_site_fract_z
Tb1 0.0000 0.0000 0.1387
Hf1 0.0000 0.0000 0.0000
Co1 0.0000 0.0000 0.3340
Co2 0.0000 0.0000 0.5000
Co3 0.0005 0.5003 0.9207
# Energy of formation from the pure elements, eV per atom: -0.16
# Mass density, g/cm³: 10.12
# Volume, Å³/cell: 506



# Tb3HfCo8 GGA-PBE optimized geometry
data_Tb3HfCo8
_chemical_formula_sum 'Tb9 Hf3 Co24'
_cell_length_a 5.0208
_cell_length_b 5.0208
_cell_length_c 24.5979
_cell_angle_alpha 90.00
_cell_angle_beta 90.00
_cell_angle_gamma 120.00
_space_group_name_H-M_alt 'R 3 m'
_space_group_IT_number 160
_space_group_name_Hall 'R 3 -2"'
loop_
_atom_site_label
_atom_site_fract_x
_atom_site_fract_y
_atom_site_fract_z
Tb1 0.0000 0.0000 0.0000
Tb2 0.0000 0.0000 0.1253
Tb3 0.0000 0.0000 0.4999
Hf1 0.0000 0.0000 0.6244
Co1 0.0000 0.0000 0.3118
Co2 0.0000 0.0000 0.8122
Co3 0.0037 0.5018 0.5649
Co4 0.1695 0.3391 0.3930
# Energy of formation from the pure elements, eV per atom: -0.20
# Mass density, g/cm³: 10.45
# Volume, Å³/cell: 537



# TbHf2Co GGA-PBE optimized geometry
data_TbHf2Co
_chemical_formula_sum 'Tb1 Hf2 Co1'
_cell_length_a 3.233
_cell_length_b 3.233
_cell_length_c 7.979
_cell_angle_alpha 90.00
_cell_angle_beta 90.00
_cell_angle_gamma 90.00
_space_group_name_H-M_alt 'P 4/m m m'
_space_group_IT_number 123
_space_group_name_Hall '-P 4 2'
loop_
_atom_site_label
_atom_site_fract_x
_atom_site_fract_y
_atom_site_fract_z
Tb1 0.000 0.000 0.000
Hf1 0.500 0.500 0.314
Co1 0.000 0.000 0.500
# Energy of formation from the pure elements, eV per atom: -0.03
# E above lowest polymorph, meV per atom: 0
# Mass density, g/cm³: 11.44
# Volume, Å³/cell: 83



# TbHfCo2 GGA-PBE optimized geometry
data_TbHfCo2
_chemical_formula_sum 'Tb1 Hf1 Co2'
_cell_length_a 3.215
_cell_length_b 3.215
_cell_length_c 6.618
_cell_angle_alpha 90.00
_cell_angle_beta 90.00
_cell_angle_gamma 90.00
_space_group_name_H-M_alt 'P 4/m m m'
_space_group_IT_number 123
_space_group_name_Hall '-P 4 2'
loop_
_atom_site_label
_atom_site_fract_x
_atom_site_fract_y
_atom_site_fract_z
Tb1 0.000 0.000 0.000
Hf1 0.000 0.000 0.500
Co1 0.500 0.500 0.282
# Energy of formation from the pure elements, eV per atom: -0.27
# E above lowest polymorph, meV per atom: 0
# Mass density, g/cm³: 11.05
# Volume, Å³/cell: 68



# TbHfCo GGA-PBE optimized geometry
data_TbHfCo
_chemical_formula_sum 'Tb2 Hf2 Co2'
_cell_length_a 3.267
_cell_length_b 3.267
_cell_length_c 11.732
_cell_angle_alpha 90.00
_cell_angle_beta 90.00
_cell_angle_gamma 90.00
_space_group_name_H-M_alt 'I 4 m m'
_space_group_IT_number 107
_space_group_name_Hall 'I 4 -2'
loop_
_atom_site_label
_atom_site_fract_x
_atom_site_fract_y
_atom_site_fract_z
Tb1 0.000 0.000 0.000
Hf1 0.000 0.000 0.271
Co1 0.000 0.000 0.669
# Energy of formation from the pure elements, eV per atom: -0.09
# Mass density, g/cm³: 10.51
# Volume, Å³/cell: 125



# TbHfCoTc GGA-PBE optimized geometry
data_TbHfCoTc
_chemical_formula_sum 'Tb4 Hf4 Co4 Tc4'
_cell_length_a 6.587
_cell_length_b 6.587
_cell_length_c 6.587
_cell_angle_alpha 90.00
_cell_angle_beta 90.00
_cell_angle_gamma 90.00
_space_group_name_H-M_alt 'F -4 3 m'
_space_group_IT_number 216
_space_group_name_Hall 'F -4 2 3'
loop_
_atom_site_label
_atom_site_fract_x
_atom_site_fract_y
_atom_site_fract_z
Tb1 0.000 0.000 0.000
Hf1 0.000 0.000 0.500
Co1 0.250 0.250 0.750
Tc1 0.250 0.250 0.250
# Energy of formation from the pure elements, eV per atom: -0.18
# Mass density, g/cm³: 11.49
# Volume, Å³/cell: 286